Crystalline ZnCuHgAs at its relaxed geometry, computed with PBE.

Structure (POSCAR):
```
ZnCuHgAs
1.0
0.000 3.297 3.297
3.297 0.000 3.297
3.297 3.297 0.000
Zn Cu Hg As
1 1 1 1
direct
0.000 0.000 0.000
0.750 0.750 0.750
0.250 0.250 0.250
0.500 0.500 0.500
```

SG: No. 216
Relative energy among the computed polymorphs, kJ per mole of atoms: 8.1


Crystalline PtF4 at its relaxed geometry, computed with PBE.

Structure (POSCAR):
```
PtF4
1.0
5.040 0.000 0.000
0.000 5.130 0.000
0.000 0.000 8.761
Pt F
4 16
direct
0.124 0.084 0.132
0.376 0.916 0.632
0.624 0.416 0.868
0.876 0.584 0.368
0.047 0.817 0.526
0.108 0.776 0.013
0.167 0.103 0.774
0.175 0.425 0.254
0.325 0.575 0.754
0.333 0.897 0.274
0.392 0.224 0.513
0.453 0.183 0.026
0.547 0.683 0.474
0.608 0.724 0.987
0.667 0.397 0.226
0.675 0.075 0.746
0.825 0.925 0.246
0.833 0.603 0.726
0.892 0.276 0.487
0.953 0.317 0.974
```

SG: No. 19
Relative energy among the computed polymorphs, kJ per mole of atoms: 0.0
Total magnetic moment, μB per formula unit: 0.0


Crystalline PmCoPb at its relaxed geometry, computed with PBE.

Structure (POSCAR):
```
PmCoPb
1.0
0.000 3.473 3.473
3.473 0.000 3.473
3.473 3.473 0.000
Pm Co Pb
1 1 1
direct
0.000 0.000 0.000
0.750 0.750 0.750
0.250 0.250 0.250
```

SG: No. 216
Relative energy among the computed polymorphs, kJ per mole of atoms: 69.6
Total magnetic moment, μB per formula unit: 1.7


Crystalline Dy3Tm at its relaxed geometry, computed with PBE.

Structure (POSCAR):
```
Dy3Tm
1.0
5.594 0.000 0.000
0.000 3.595 6.226
0.000 -3.595 6.226
Dy Tm
6 2
direct
0.000 0.000 0.000
0.000 0.500 0.500
0.000 0.500 0.999
0.000 0.999 0.500
0.500 0.333 0.333
0.500 0.833 0.833
0.500 0.334 0.833
0.500 0.833 0.334
```

SG: No. 38
Total magnetic moment, μB per formula unit: 0.1


Crystalline PmN at its relaxed geometry, computed with PBE.

Structure (POSCAR):
```
PmN
1.0
0.000 2.544 2.544
2.544 0.000 2.544
2.544 2.544 0.000
Pm N
1 1
direct
0.000 0.000 0.000
0.500 0.500 0.500
```

SG: No. 225
Total magnetic moment, μB per formula unit: 0.0


Crystalline SmSnB4 at its relaxed geometry, computed with PBE.

Structure (POSCAR):
```
SmSnB4
1.0
-1.619 2.676 4.267
1.619 -2.676 4.267
1.619 2.676 -4.267
Sm Sn B
1 1 4
direct
0.000 0.000 0.000
0.500 0.500 0.000
0.069 0.741 0.328
0.413 0.741 0.672
0.587 0.259 0.328
0.931 0.259 0.672
```

SG: No. 71
Relative energy among the computed polymorphs, kJ per mole of atoms: 0.0
Total magnetic moment, μB per formula unit: 0.0


Crystalline LuCoPdPb at its relaxed geometry, computed with PBE.

Structure (POSCAR):
```
LuCoPdPb
1.0
0.000 3.357 3.357
3.357 0.000 3.357
3.357 3.357 0.000
Lu Co Pd Pb
1 1 1 1
direct
0.000 0.000 0.000
0.500 0.500 0.500
0.750 0.750 0.750
0.250 0.250 0.250
```

SG: No. 216
Relative energy among the computed polymorphs, kJ per mole of atoms: 22.4
Total magnetic moment, μB per formula unit: 1.6


Crystalline GdSc3C2S2 at its relaxed geometry, computed with PBE.

Structure (POSCAR):
```
GdSc3C2S2
1.0
3.527 0.000 0.000
-1.763 3.054 0.000
0.000 0.000 12.249
Gd Sc C S
1 3 2 2
direct
0.000 0.000 0.000
0.000 0.000 0.697
0.333 0.667 0.215
0.333 0.667 0.499
0.667 0.333 0.114
0.667 0.333 0.597
0.000 0.000 0.356
0.333 0.667 0.838
```

SG: No. 156
Total magnetic moment, μB per formula unit: 0.0


Crystalline YZrCd2Ag4 at its relaxed geometry, computed with PBE.

Structure (POSCAR):
```
YZrCd2Ag4
1.0
4.872 0.000 0.000
0.000 4.872 0.000
0.000 0.000 6.855
Y Zr Cd Ag
1 1 2 4
direct
0.000 0.000 0.000
0.500 0.500 0.500
0.000 0.000 0.500
0.500 0.500 0.000
0.000 0.500 0.264
0.000 0.500 0.736
0.500 0.000 0.264
0.500 0.000 0.736
```

SG: No. 123
Total magnetic moment, μB per formula unit: 0.0


Crystalline ErTmCo2C2 at its relaxed geometry, computed with PBE.

Structure (POSCAR):
```
ErTmCo2C2
1.0
3.601 0.000 0.000
0.000 3.601 0.000
0.000 0.000 6.763
Er Tm Co C
1 1 2 2
direct
0.000 0.000 0.000
0.000 0.000 0.500
0.500 0.500 0.251
0.500 0.500 0.749
0.000 0.500 0.251
0.500 0.000 0.749
```

SG: No. 115
Total magnetic moment, μB per formula unit: 0.7


Crystalline CdNiCl6 at its relaxed geometry, computed with PBE.

Structure (POSCAR):
```
CdNiCl6
1.0
6.009 0.000 0.000
-3.003 5.209 0.000
-2.996 -1.730 5.558
Cd Ni Cl
1 1 6
direct
0.000 0.000 0.000
0.000 0.500 0.500
0.167 0.453 0.269
0.184 0.286 0.731
0.445 0.898 0.731
0.555 0.102 0.269
0.816 0.714 0.269
0.833 0.547 0.731
```

SG: No. 2
Total magnetic moment, μB per formula unit: 0.0


Crystalline Zn4AsBr2N at its relaxed geometry, computed with PBE.

Structure (POSCAR):
```
Zn4AsBr2N
1.0
-2.835 2.835 5.461
2.835 -2.835 5.461
2.835 2.835 -5.461
Zn As Br N
4 1 2 1
direct
0.171 0.235 0.630
0.459 0.829 0.063
0.604 0.541 0.370
0.765 0.396 0.937
0.750 0.250 0.500
0.000 0.000 0.000
0.250 0.750 0.500
0.500 0.500 0.000
```

SG: No. 82


The evaluated total DFT energy (no corrections) for the records listed, in turn: -8.61, -76.01, -13.71, -36.51, -15.95, -35.54, -20.85, -60.39, -29.72, -43.78, -21.59, -24.35 eV/cell.